Entry 1:
5
Lattice="4.7894 0.0000 0.0000 0.0000 4.7894 0.0000 0.0000 0.0000 4.7894" Properties=species:S:1:pos:R:3 comment="PBE Al3PtSe, relaxed" e_form_raw_mev_per_atom=-348 density_g_cm3=5.366 polymorph_energy_kj_per_mol_atoms=0.0 pbc="T T T"
Al 0.0000 0.0000 2.3947
Al 0.0000 2.3947 0.0000
Al 2.3947 0.0000 0.0000
Pt 0.0000 0.0000 0.0000
Se 2.3947 2.3947 2.3947

---

Entry 2:
8
Lattice="3.8570 0.0000 0.0000 0.0000 3.8570 0.0000 0.0000 0.0000 8.7000" Properties=species:S:1:pos:R:3 comment="PBE AlPt2Se, relaxed" e_form_raw_mev_per_atom=-245 density_g_cm3=12.730 pbc="T T T"
Al 0.0000 0.0000 0.0000
Al 1.9285 1.9285 4.3500
Pt 0.0000 0.0000 4.3500
Pt 0.0000 1.9285 6.5250
Pt 1.9285 0.0000 2.1750
Pt 1.9285 1.9285 0.0000
Se 0.0000 1.9285 2.1750
Se 1.9285 0.0000 6.5250

---

Entry 3:
8
Lattice="14.5299 0.0000 0.0000 0.0000 2.8514 0.0000 -0.1662 0.0000 3.3764" Properties=species:S:1:pos:R:3 comment="PBE AlPt2Se, relaxed" e_form_raw_mev_per_atom=-501 density_g_cm3=11.778 pbc="T T T"
Al 0.0000 0.0000 0.0000
Al 7.2650 1.4257 0.0000
Pt 1.3443 1.4257 1.7413
Pt 5.7994 0.0000 1.6543
Pt 8.6092 0.0000 1.7413
Pt 13.0643 1.4257 1.6543
Se 3.4634 0.0000 2.5324
Se 10.7284 1.4257 2.5324

---

Entry 4:
5
Lattice="4.6731 0.0000 0.0000 0.0000 4.6731 0.0000 0.0000 0.0000 4.6443" Properties=species:S:1:pos:R:3 comment="PBE TaAlPt2Se, relaxed" e_form_raw_mev_per_atom=945 density_g_cm3=11.085 pbc="T T T"
Ta 0.0000 0.0000 0.0000
Al 2.3366 2.3366 0.0000
Pt 0.0000 2.3366 2.3221
Pt 2.3366 0.0000 2.3221
Se 2.3366 2.3366 2.3221

---

Entry 5:
5
Lattice="4.6828 0.0000 0.0000 0.0000 4.6828 0.0000 0.0000 0.0000 4.8443" Properties=species:S:1:pos:R:3 comment="PBE AlTcPtSe2, relaxed" e_form_raw_mev_per_atom=1070 density_g_cm3=7.472 pbc="T T T"
Al 0.0000 0.0000 0.0000
Tc 0.0000 0.0000 2.4221
Pt 2.3414 2.3414 2.4221
Se 0.0000 2.3414 0.0000
Se 2.3414 0.0000 0.0000

---

Entry 6:
5
Lattice="5.7337 0.0000 0.0000 0.0000 5.7337 0.0000 0.0000 0.0000 5.0107" Properties=species:S:1:pos:R:3 comment="PBE YAl2PtSe, relaxed" e_form_raw_mev_per_atom=951 density_g_cm3=4.203 pbc="T T T"
Y 0.0000 0.0000 0.0000
Al 0.0000 2.8668 0.0000
Al 2.8668 0.0000 0.0000
Pt 0.0000 0.0000 2.5053
Se 2.8668 2.8668 2.5053

---

Entry 7:
5
Lattice="4.5826 0.0000 0.0000 0.0000 4.5826 0.0000 0.0000 0.0000 4.5826" Properties=species:S:1:pos:R:3 comment="PBE AlSiPt3, relaxed" e_form_raw_mev_per_atom=508 density_g_cm3=11.049 polymorph_energy_kj_per_mol_atoms=38.2 pbc="T T T"
Al 0.0000 0.0000 0.0000
Si 2.2913 2.2913 2.2913
Pt 0.0000 0.0000 2.2913
Pt 0.0000 2.2913 0.0000
Pt 2.2913 0.0000 0.0000

---

Entry 8:
4
Lattice="2.8696 0.0000 0.0000 0.0000 2.8696 0.0000 0.0000 0.0000 7.4124" Properties=species:S:1:pos:R:3 comment="PBE Al2SiPt, relaxed" e_form_raw_mev_per_atom=-264 density_g_cm3=7.539 pbc="T T T"
Al 0.0000 0.0000 0.0000
Al 1.4348 1.4348 2.0071
Si 1.4348 1.4348 5.5356
Pt 0.0000 0.0000 3.7847

---

| no. | spin magnetization (μB/f.u.) |
| --- | --- |
| 1 | 0.0 |
| 2 | 0.0 |
| 3 | 0.0 |
| 4 | 1.6 |
| 5 | 3.2 |
| 6 | 0.0 |
| 7 | 0.0 |
| 8 | 0.0 |